Compound: NaPaBi2S6
Source: Alexandria via LeMat-Bulk
Functional: PBE
Structure: optimized geometry

Output
M_tot in μB/f.u.: 0.00
VASP energy in eV/atom: -5.246
Formation energy from raw total energies in eV/atom: -0.912

Lattice parameters (Å, degrees): 7.0621 7.0621 7.4929 61.88 61.88 60.00
Fractional coordinates of all 10 atoms:
1 Na 0.8123 0.8123 0.5630
2 Pa 0.3232 0.3232 0.0305
3 Bi 0.5182 0.5183 0.4452
4 Bi 0.0118 0.0118 0.9645
5 S 0.5892 0.2209 0.2455
6 S 0.2209 0.9443 0.2455
7 S 0.9443 0.5893 0.2455
8 S 0.4096 0.7060 0.7585
9 S 0.7060 0.1259 0.7584
10 S 0.1259 0.4097 0.7585

=====

Compound: VSbMoI2
Source: Alexandria via LeMat-Bulk
Functional: PBE
Structure: optimized geometry

Output
M_tot in μB/f.u.: 6.23
Energy above the most stable polymorph in this dataset in eV/atom: 0.000
VASP energy in eV/atom: -4.432
Formation energy from raw total energies in eV/atom: 1.003

Lattice parameters (Å, degrees): 5.4188 5.4188 5.3412 90.00 90.00 90.00
Each line ends with the local moment (μB).
Fractional coordinates of all 5 atoms:
1 I 0.0000 0.5000 0.0000  -0.05
2 I 0.5000 0.0000 0.0000  -0.05
3 Sb 0.0000 0.0000 0.5000  -0.34
4 Mo 0.5000 0.5000 0.5000  3.82
5 V 0.0000 0.0000 0.0000  2.06

=====

Compound: BaIn2CoAg
Source: Alexandria via LeMat-Bulk
Functional: PBE
Structure: optimized geometry

Output
M_tot in μB/f.u.: 0.00
ΔH_f (0 K) in meV per atom: -107
VASP energy in eV/atom: -3.578

Lattice parameters (Å, degrees): 4.9618 4.9618 5.3126 90.00 90.00 90.00
Fractional coordinates of all 5 atoms:
1 Co 0.0000 0.0000 0.0000
2 Ba 0.5000 0.5000 0.5000
3 Ag 0.0000 0.0000 0.5000
4 In 0.0000 0.5000 0.0000
5 In 0.5000 0.0000 0.0000

=====

Compound: Ba2ErZnTe5
Source: Alexandria via LeMat-Bulk
Functional: PBE
Structure: optimized geometry

Output
M_tot in μB/f.u.: 0.00
VASP energy in eV/atom: -4.057
Formation energy from raw total energies in eV/atom: -1.236

Lattice parameters (Å, degrees): 4.5306 10.4072 14.0107 90.00 90.00 102.57
Fractional coordinates of all 18 atoms:
1 Ba 0.8755 0.7509 0.8241
2 Ba 0.1198 0.2396 0.6930
3 Ba 0.1245 0.2491 0.3241
4 Ba 0.8802 0.7604 0.1930
5 Er 0.7973 0.5946 0.5188
6 Er 0.2027 0.4054 0.0188
7 Zn 0.5646 0.1293 0.9342
8 Zn 0.4354 0.8707 0.4342
9 Te 0.3508 0.7016 0.0108
10 Te 0.6942 0.3884 0.8679
11 Te 0.4999 0.9998 0.7713
12 Te 0.2979 0.5959 0.6653
13 Te 0.9504 0.9007 0.5385
14 Te 0.6492 0.2984 0.5108
15 Te 0.3058 0.6116 0.3679
16 Te 0.5001 0.0002 0.2713
17 Te 0.7021 0.4041 0.1653
18 Te 0.0496 0.0993 0.0385

=====

Compound: SbW2Cl
Source: Alexandria via LeMat-Bulk
Functional: PBE
Structure: optimized geometry

Output
M_tot in μB/f.u.: 0.00
Energy above the most stable polymorph in this dataset in eV/atom: 0.254
VASP energy in eV/atom: -7.669
Formation energy from raw total energies in eV/atom: 0.299

Lattice parameters (Å, degrees): 4.4309 4.4309 8.5532 73.09 73.09 40.50
Fractional coordinates of all 4 atoms:
1 Cl 0.3965 0.3965 0.5827
2 Sb 0.2613 0.2613 0.1443
3 W 0.0330 0.0330 0.9567
4 W 0.8093 0.8093 0.8163

=====

Compound: Al2CrSb
Source: Alexandria via LeMat-Bulk
Functional: PBE
Structure: optimized geometry

Output
M_tot in μB/f.u.: 1.58
VASP energy in eV/atom: -5.139
Formation energy from raw total energies in eV/atom: 0.169

Lattice parameters (Å, degrees): 4.0474 3.3563 5.4646 72.16 90.00 90.00
Each line ends with the local moment (μB).
Fractional coordinates of all 4 atoms:
1 Sb 0.5000 0.7161 0.6935  -0.07
2 Al 0.0000 0.0260 0.0729  -0.03
3 Al 0.5000 0.4531 0.2179  -0.02
4 Cr 0.0000 0.3048 0.5157  1.71

=====

Compound: CrIr2Pb
Source: Alexandria via LeMat-Bulk
Functional: PBE
Structure: optimized geometry

Output
M_tot in μB/f.u.: 1.02
ΔH_f (0 K) in meV per atom: 855
VASP energy in eV/atom: -6.908

Lattice parameters (Å, degrees): 5.8214 5.8214 6.9053 65.07 65.07 90.00
Each line ends with the local moment (μB).
Fractional coordinates of all 8 atoms:
1 Pb 0.0000 0.0000 0.0000  0.02
2 Pb 0.7500 0.2500 0.5000  0.02
3 Cr 0.5000 0.5000 0.0000  1.03
4 Cr 0.2500 0.7500 0.5000  1.04
5 Ir 0.5658 0.1250 0.2500  -0.06
6 Ir 0.1842 0.6250 0.2500  -0.05
7 Ir 0.3750 0.4342 0.7500  -0.05
8 Ir 0.8750 0.8158 0.7500  -0.09

=====

Compound: Nd4C2Cl
Source: Alexandria via LeMat-Bulk
Functional: PBE
Structure: optimized geometry

Output
M_tot in μB/f.u.: 0.00
VASP energy in eV/atom: -6.243
Formation energy from raw total energies in eV/atom: -0.620

Lattice parameters (Å, degrees): 3.7356 3.7356 14.0437 82.36 82.36 60.00
Fractional coordinates of all 7 atoms:
1 Nd 0.1208 0.1208 0.6374
2 Nd 0.2798 0.2798 0.1607
3 Nd 0.7202 0.7202 0.8393
4 Nd 0.8792 0.8792 0.3626
5 C 0.4196 0.4196 0.7412
6 C 0.5804 0.5804 0.2588
7 Cl 0.0000 0.0000 0.0000

=====

Question: Number 7 is which compound?
Answer: CrIr2Pb